1.
Fe4Ni7Pd, relaxed, DFT PBE; SG = P-1 (2); crystal system = triclinic; ΔE_f = -0.28 eV/f.u.; total energy = -6.6497 eV per atom
1.0
4.4066 0.0000 0.0000
-0.0041 5.0971 0.0000
-2.1843 -1.2904 6.2235
Fe Ni Pd
4 7 1
Cartesian
0.3770 0.6349 1.0141
-0.3780 1.8680 5.1616
2.5961 1.9387 1.0619
1.8412 3.1718 5.2094
-1.0959 3.1387 3.1286
0.3849 3.1604 0.9966
-0.3805 -0.6544 5.2382
1.1091 1.9034 3.1117
2.5986 4.4611 0.9852
1.8333 0.6464 5.2268
3.3140 0.6680 3.0948
1.1111 -0.6452 3.1117

***

2.
CsVCuI6, relaxed, DFT PBE; formation energy without anion corrections = -0.543 eV per atom; SG = P1 (1); crystal system = triclinic; total energy = -3.1391 eV per atom
1.0
7.1835 0.0000 0.0000
3.5531 6.7727 0.0000
0.7786 -0.0426 8.3931
Cs V Cu I
1 1 1 6
Cartesian
0.0000 0.0000 0.0000
3.9935 2.4734 4.2014
7.5564 5.3235 4.1611
2.2970 2.8814 6.2205
2.6819 0.5148 2.8416
5.6487 4.3902 5.6142
5.6922 2.9151 2.1869
5.3178 0.5090 5.5232
9.5163 4.3917 2.7879

***

3.
SmTlZn, relaxed, DFT PBE; SG = F-43m (216); crystal system = cubic; ΔE_f = -0.88 eV/f.u.; total energy = -3.0810 eV per atom
1.0
6.7600 0.0000 0.0000
0.0000 6.7600 0.0000
0.0000 0.0000 6.7600
Sm Tl Zn
4 4 4
Cartesian
0.0000 0.0000 0.0000
0.0000 3.3800 3.3800
3.3800 0.0000 3.3800
3.3800 3.3800 0.0000
0.0000 0.0000 3.3800
0.0000 3.3800 0.0000
3.3800 0.0000 0.0000
3.3800 3.3800 3.3800
1.6900 1.6900 1.6900
1.6900 5.0700 5.0700
5.0700 1.6900 5.0700
5.0700 5.0700 1.6900

***

4.
Nd7InCo2, relaxed, DFT PBE; SG = Cmmm (65); crystal system = orthorhombic; ΔE_f = 0.03 eV/f.u.; total energy = -5.0294 eV per atom
1.0
4.6229 -6.8368 0.0000
4.6229 6.8368 0.0000
0.0000 0.0000 5.0867
Nd In Co
7 1 2
Cartesian
0.0000 0.0000 0.0000
2.9484 1.7861 0.0000
4.6229 4.0007 2.5434
2.9484 -1.7861 0.0000
6.2974 1.7861 0.0000
4.6229 -4.0007 2.5434
6.2974 -1.7861 0.0000
4.6229 0.0000 2.5434
4.6229 4.0998 0.0000
4.6229 -4.0998 0.0000

***

5.
MgV2Fe2, relaxed, DFT PBE; SG = P4/mbm (127); crystal system = tetragonal; ΔE_f = 0.26 eV/f.u.; energy relative to the lowest polymorph listed for this composition = 0.0000 eV/atom; total energy = -7.2988 eV per atom
1.0
6.9358 0.0000 0.0000
0.0000 6.9358 0.0000
0.0000 0.0000 2.7478
Mg V Fe
2 4 4
Cartesian
0.0000 0.0000 0.0000
3.4679 3.4679 0.0000
1.0610 2.4069 1.3739
2.4069 5.8748 1.3739
4.5289 1.0610 1.3739
5.8748 4.5289 1.3739
0.9673 4.4352 0.0000
2.5006 0.9673 0.0000
4.4352 5.9686 0.0000
5.9686 2.5006 0.0000

***

6.
K2V3Cl10, relaxed, DFT PBE; formation energy without anion corrections = -1.393 eV per atom; SG = C2/m (12); crystal system = monoclinic; total energy = -4.5938 eV per atom
1.0
11.4484 -3.5882 0.0000
11.4484 3.5882 0.0000
-3.5498 0.0000 8.9319
K V Cl
4 6 20
Cartesian
2.0754 0.0000 2.0434
2.3626 0.0000 7.3029
16.9844 0.0000 1.6291
17.2715 0.0000 6.8885
9.6735 1.8145 4.4660
5.7135 0.0000 4.2709
9.5878 0.0000 0.2402
9.7592 0.0000 8.6917
13.6335 0.0000 4.6610
9.6735 -1.8145 4.4660
3.9493 1.7941 4.4660
-1.9870 0.0000 6.0720
8.0783 1.7308 0.3669
7.2682 1.8173 4.1978
5.3728 0.0000 1.9963
11.4484 1.5927 0.0000
12.0787 1.8173 4.7341
5.7334 0.0000 6.7341
11.2686 1.7308 8.5651
9.8792 0.0000 2.7958
3.9493 -1.7941 4.4660
9.4677 0.0000 6.1362
8.0783 -1.7308 0.3669
13.6135 0.0000 2.1978
7.2682 -1.8173 4.1978
11.4484 -1.5927 0.0000
13.9742 0.0000 6.9357
12.0787 -1.8173 4.7341
11.2686 -1.7308 8.5651
21.3339 0.0000 2.8599

***

7.
TeMoRu, relaxed, DFT PBE; formation energy without anion corrections = 0.388 eV per atom; SG = Amm2 (38); crystal system = orthorhombic; energy relative to the lowest polymorph listed for this composition = 0.0913 eV/atom; total energy = -7.3620 eV per atom
1.0
11.4171 0.0000 0.0000
0.0000 3.4443 0.0000
0.0000 0.0000 5.9651
Te Mo Ru
4 4 4
Cartesian
1.9000 0.0000 0.0000
1.9000 1.7221 2.9825
9.5171 0.0000 0.0000
9.5171 1.7221 2.9825
0.0000 0.0000 3.9772
0.0000 1.7221 0.9947
5.7085 0.0000 3.9874
5.7085 1.7221 1.0048
4.2160 0.0000 1.9995
4.2160 1.7221 4.9821
7.2011 0.0000 1.9995
7.2011 1.7221 4.9821

***

8.
Li2CrCd, relaxed, DFT PBE; SG = P4/mmm (123); crystal system = tetragonal; ΔE_f = 0.88 eV/f.u.; total energy = -3.3726 eV per atom
1.0
4.0788 0.0000 0.0000
0.0000 4.0788 0.0000
0.0000 0.0000 4.3593
Li Cr Cd
2 1 1
Cartesian
0.0000 2.0394 0.0000
2.0394 0.0000 0.0000
0.0000 0.0000 2.1797
2.0394 2.0394 2.1797

***

9.
ZnPt5, relaxed, DFT PBE; SG = F-43m (216); crystal system = cubic; ΔE_f = 0.73 eV/f.u.; total energy = -5.1248 eV per atom
1.0
0.0000 3.7001 3.7001
3.7001 0.0000 3.7001
3.7001 3.7001 0.0000
Zn Pt
1 5
Cartesian
0.0000 0.0000 0.0000
4.6241 2.7762 2.7762
1.8501 1.8501 1.8501
2.7762 4.6241 2.7762
2.7762 2.7762 4.6241
4.6241 4.6241 4.6241

***

10.
KSn2I5, relaxed, DFT PBE; formation energy without anion corrections = -0.713 eV per atom; SG = I4/mcm (140); crystal system = tetragonal; total energy = -2.8200 eV per atom
1.0
-4.4897 4.4897 7.9871
4.4897 -4.4897 7.9871
4.4897 4.4897 -7.9871
K Sn I
2 4 10
Cartesian
0.0000 0.0000 3.9935
0.0000 0.0000 11.9806
6.0784 1.5887 0.0000
1.5887 2.9010 0.0000
2.9010 1.5887 7.9871
-1.5887 2.9010 7.9871
0.0000 0.0000 0.0000
3.0701 1.4196 -2.1660
3.0701 -1.4196 5.8210
3.0701 1.4196 2.1660
3.0701 -1.4196 10.1531
0.0000 0.0000 7.9871
1.4196 5.9093 -2.1660
1.4196 3.0701 5.8210
1.4196 5.9093 2.1660
1.4196 3.0701 10.1531

***

11.
TbPmO2, relaxed, DFT PBE; formation energy without anion corrections = -2.702 eV per atom; SG = R3m (160); crystal system = trigonal; energy relative to the lowest polymorph listed for this composition = 0.1367 eV/atom; total energy = -7.5259 eV per atom
1.0
3.4559 0.0000 0.0000
-1.7279 2.9929 0.0000
0.0000 0.0000 17.9006
Tb Pm O
3 3 6
Cartesian
0.0000 0.0000 0.0000
0.0000 1.9953 11.9337
1.7279 0.9976 5.9669
0.0000 0.0000 3.1819
0.0000 1.9953 15.1157
1.7279 0.9976 9.1488
0.0000 0.0000 7.3937
0.0000 0.0000 10.7280
0.0000 1.9953 1.4269
0.0000 1.9953 4.7611
1.7279 0.9976 13.3606
1.7279 0.9976 16.6948

***

12.
Tb3Ce2PrS6, relaxed, DFT PBE; formation energy without anion corrections = -2.033 eV per atom; SG = C2/m (12); crystal system = monoclinic; total energy = -6.6413 eV per atom
1.0
3.4384 -5.9609 0.0000
3.4384 5.9609 0.0000
-2.2995 0.0000 6.5738
Tb Ce Pr S
3 2 1 6
Cartesian
0.0000 0.0000 0.0000
3.4384 1.9509 0.0000
3.4384 -1.9509 0.0000
2.2887 3.9758 3.2869
2.2887 -3.9758 3.2869
2.2887 0.0000 3.2869
1.1310 2.0107 1.5611
-0.0333 0.0000 4.9953
1.1310 -2.0107 1.5611
3.4464 2.0107 5.0127
4.6107 0.0000 1.5785
3.4464 -2.0107 5.0127

***

13.
MgBe2Mo, relaxed, DFT PBE; SG = I-42d (122); crystal system = tetragonal; ΔE_f = 2.55 eV/f.u.; total energy = -4.3320 eV per atom
1.0
6.4156 0.0000 0.0000
0.0000 6.4156 0.0000
0.0000 0.0000 5.3161
Mg Be Mo
4 8 4
Cartesian
0.0000 0.0000 0.0000
0.0000 3.2078 1.3290
3.2078 0.0000 3.9871
3.2078 3.2078 2.6581
1.5638 1.6039 3.3226
1.6039 4.7716 4.6516
1.6039 4.8518 1.9935
1.6440 1.6039 0.6645
4.7716 4.8117 0.6645
4.8117 1.5638 1.9935
4.8117 1.6440 4.6516
4.8518 4.8117 3.3226
0.0000 0.0000 2.6581
0.0000 3.2078 3.9871
3.2078 0.0000 1.3290
3.2078 3.2078 0.0000

***

14.
AcTl2TcO8, relaxed, DFT PBE; formation energy without anion corrections = -1.356 eV per atom; SG = P-1 (2); crystal system = triclinic; total energy = -6.2625 eV per atom
1.0
5.2018 0.0000 0.0000
0.0141 5.2108 0.0000
0.4785 0.5211 6.9780
Ac Tl Tc O
1 2 1 8
Cartesian
0.0000 0.0000 0.0000
2.5782 2.5807 1.7649
3.1162 3.1512 5.2132
0.2392 0.2605 3.4890
1.2060 4.5962 4.8515
1.1121 4.4867 2.1418
1.6566 1.6500 3.4452
2.1655 2.1450 6.8106
3.5288 3.5868 0.1675
4.0378 4.0819 3.5328
4.5823 1.2451 4.8363
4.4883 1.1357 2.1265

***

15.
KIrOs, relaxed, DFT PBE; SG = Cm (8); crystal system = monoclinic; ΔE_f = 1.96 eV/f.u.; energy relative to the lowest polymorph listed for this composition = 0.1866 eV/atom; total energy = -6.4099 eV per atom
1.0
12.2235 0.0000 0.0000
0.0000 4.0361 0.0000
-4.9264 0.0000 6.2315
K Ir Os
4 4 4
Cartesian
0.0000 0.0000 0.0000
-1.7628 0.0000 4.9119
6.1117 2.0180 0.0000
4.3489 2.0180 4.9119
2.7344 2.0180 1.8253
4.1311 0.0000 2.1302
8.8461 0.0000 1.8253
10.2429 2.0180 2.1302
0.3307 2.0180 2.7541
1.6396 0.0000 3.0686
6.4425 0.0000 2.7541
7.7513 2.0180 3.0686

***

16.
BaAlCo3, relaxed, DFT PBE; SG = Pm-3m (221); crystal system = cubic; ΔE_f = 3.37 eV/f.u.; energy relative to the lowest polymorph listed for this composition = 0.0000 eV/atom; total energy = -4.7228 eV per atom
1.0
4.5681 0.0000 0.0000
0.0000 4.5681 0.0000
0.0000 0.0000 4.5681
Ba Al Co
1 1 3
Cartesian
0.0000 0.0000 0.0000
2.2840 2.2840 2.2840
0.0000 2.2840 2.2840
2.2840 0.0000 2.2840
2.2840 2.2840 0.0000

***

17.
TbZrSc2Se4, relaxed, DFT PBE; formation energy without anion corrections = -1.484 eV per atom; SG = P2/m (10); crystal system = monoclinic; total energy = -6.4569 eV per atom
1.0
6.7749 0.0000 0.0000
0.0000 3.9158 0.0000
-2.2804 0.0000 6.4754
Tb Zr Sc Se
1 1 2 4
Cartesian
0.0000 0.0000 0.0000
3.3875 1.9579 0.0000
-1.1402 1.9579 3.2377
2.2472 0.0000 3.2377
0.0185 0.0000 4.7876
1.1611 1.9579 1.7119
3.3334 1.9579 4.7635
4.4760 0.0000 1.6878

***

18.
TeRu2, relaxed, DFT PBE; formation energy without anion corrections = 0.423 eV per atom; SG = Pnnm (58); crystal system = orthorhombic; energy relative to the lowest polymorph listed for this composition = 0.3097 eV/atom; total energy = -6.8077 eV per atom
1.0
3.0891 0.0000 0.0000
0.0000 7.5223 0.0000
0.0000 0.0000 4.3339
Te Ru
2 4
Cartesian
0.0000 0.0000 0.0000
1.5446 3.7611 2.1669
0.7548 2.5187 0.0000
0.7898 6.2799 2.1669
2.2993 1.2424 2.1669
2.3344 5.0035 0.0000

***

19.
CeSbHPt, relaxed, DFT PBE; SG = P3m1 (156); crystal system = trigonal; total energy = -5.7365 eV per atom
1.0
4.5316 0.0000 0.0000
-2.2658 3.9245 0.0000
0.0000 0.0000 4.1983
Ce Sb H Pt
1 1 1 1
Cartesian
0.0000 0.0000 0.0000
0.0000 2.6163 2.2489
2.2658 1.3082 0.0098
2.2658 1.3082 1.7261

***

20.
NaTbI3, relaxed, DFT PBE; formation energy without anion corrections = -1.077 eV per atom; SG = P2_1/m (11); crystal system = monoclinic; total energy = -3.1969 eV per atom
1.0
8.5077 0.0000 0.0000
0.0000 6.9921 0.0000
-4.2531 0.0000 7.3744
Na Tb I
2 2 6
Cartesian
-0.0010 1.7480 2.4588
4.2557 5.2441 4.9156
4.2539 0.0000 0.0000
4.2539 3.4960 0.0000
-2.2032 1.7480 6.0998
2.0497 5.2441 1.2740
0.0003 5.2441 4.8285
4.2544 1.7480 2.5459
2.2049 1.7480 6.1004
6.4579 5.2441 1.2746